Record 1
# Zn2Ga2Sn

An optimized crystal structure of Zn2Ga2Sn (PBE, Alexandria).

Properties
Calculated total energy in eV/cell: -24.26
SG: No. 127
E above lowest polymorph in meV/atom: 41
Energy of formation from the pure elements in eV per atom: 0.10

Structure (extended XYZ):
```
10
Lattice="7.802 0.000 0.000 0.000 7.802 0.000 0.000 0.000 3.209" Properties=species:S:1:pos:R:3 pbc="T T T"
Zn 1.343 2.558 0.000
Zn 2.558 6.459 0.000
Zn 5.244 1.343 0.000
Zn 6.459 5.244 0.000
Ga 0.984 4.885 1.604
Ga 2.917 0.984 1.604
Ga 4.885 6.818 1.604
Ga 6.818 2.917 1.604
Sn 0.000 0.000 1.604
Sn 3.901 3.901 1.604
```


Record 2
# Zn4GaSn

An optimized crystal structure of Zn4GaSn (PBE, Alexandria).

Properties
Calculated total energy in eV/cell: -11.60
SG: No. 216
Energy of formation from the pure elements in eV per atom: 0.09

Structure (extended XYZ):
```
6
Lattice="0.000 3.796 3.796 3.796 0.000 3.796 3.796 3.796 0.000" Properties=species:S:1:pos:R:3 pbc="T T T"
Zn 0.952 0.952 0.952
Zn 2.844 2.844 0.952
Zn 2.844 0.952 2.844
Zn 0.952 2.844 2.844
Ga 3.796 3.796 3.796
Sn 5.694 5.694 5.694
```


Record 3
# Zn2Ga2Sn

An optimized crystal structure of Zn2Ga2Sn (PBE, Alexandria).

Properties
Calculated total energy in eV/cell: -24.67
SG: No. 139
E above lowest polymorph in meV/atom: 0
Energy of formation from the pure elements in eV per atom: 0.05

Structure (extended XYZ):
```
10
Lattice="4.068 0.000 0.000 0.000 4.068 0.000 0.000 0.000 11.838" Properties=species:S:1:pos:R:3 pbc="T T T"
Zn 0.000 0.000 1.237
Zn 0.000 0.000 10.601
Zn 2.034 2.034 4.682
Zn 2.034 2.034 7.156
Ga 0.000 2.034 2.960
Ga 0.000 2.034 8.879
Ga 2.034 0.000 2.960
Ga 2.034 0.000 8.879
Sn 0.000 0.000 5.919
Sn 2.034 2.034 0.000
```


Record 4
# Zn2GaSn

An optimized crystal structure of Zn2GaSn (PBE, Alexandria).

Properties
Calculated total energy in eV/cell: -36.78
SG: No. 122
E above lowest polymorph in meV/atom: 0
Energy of formation from the pure elements in eV per atom: 0.10

Structure (extended XYZ):
```
16
Lattice="4.440 0.000 0.000 0.000 4.440 0.000 0.000 0.000 16.971" Properties=species:S:1:pos:R:3 pbc="T T T"
Zn 0.868 1.110 2.121
Zn 1.110 3.088 6.364
Zn 1.110 3.571 14.850
Zn 1.352 1.110 10.607
Zn 3.088 3.330 10.607
Zn 3.330 0.868 14.850
Zn 3.330 1.352 6.364
Zn 3.571 3.330 2.121
Ga 0.000 0.000 0.000
Ga 0.000 2.220 4.243
Ga 2.220 0.000 12.728
Ga 2.220 2.220 8.485
Sn 0.000 0.000 8.485
Sn 0.000 2.220 12.728
Sn 2.220 0.000 4.243
Sn 2.220 2.220 0.000
```


Record 5
# ZnGa6Sn

An optimized crystal structure of ZnGa6Sn (PBE, Alexandria).

Properties
Calculated total energy in eV/cell: -23.05
SG: No. 2
E above lowest polymorph in meV/atom: 0
Energy of formation from the pure elements in eV per atom: 0.05

Structure (extended XYZ):
```
8
Lattice="4.339 0.000 0.000 0.803 6.180 0.000 0.848 2.588 5.978" Properties=species:S:1:pos:R:3 pbc="T T T"
Zn 0.000 0.000 0.000
Ga 2.328 6.219 5.229
Ga 1.505 1.520 2.172
Ga 3.003 3.582 4.799
Ga 2.986 5.187 1.179
Ga 4.485 7.248 3.805
Ga 3.662 2.549 0.749
Sn 0.825 4.384 2.989
```


Record 6
# Zn4Ga4Sn

An optimized crystal structure of Zn4Ga4Sn (PBE, Alexandria).

Properties
Calculated total energy in eV/cell: -20.67
SG: No. 12
E above lowest polymorph in meV/atom: 0
Energy of formation from the pure elements in eV per atom: 0.06

Structure (extended XYZ):
```
9
Lattice="4.800 -4.406 0.000 4.800 4.406 0.000 -1.719 0.000 3.883" Properties=species:S:1:pos:R:3 pbc="T T T"
Zn 4.800 3.074 0.000
Zn 0.358 0.000 2.478
Zn 7.524 0.000 1.404
Zn 4.800 -3.074 0.000
Ga 2.563 1.556 1.246
Ga 5.319 1.556 2.637
Ga 2.563 -1.556 1.246
Ga 5.319 -1.556 2.637
Sn 4.800 0.000 0.000
```


Record 7
# Zn5Ga12Sn3

An optimized crystal structure of Zn5Ga12Sn3 (PBE, Alexandria).

Properties
Calculated total energy in eV/cell: -206.00
SG: No. 230
Energy of formation from the pure elements in eV per atom: 0.16

Structure (extended XYZ):
```
80
Lattice="-7.793 7.793 7.793 7.793 -7.793 7.793 7.793 7.793 -7.793" Properties=species:S:1:pos:R:3 pbc="T T T"
Zn 0.000 0.000 0.000
Zn 3.896 3.896 -3.896
Zn 3.896 -3.896 3.896
Zn 7.793 0.000 0.000
Zn 11.689 1.948 0.000
Zn 7.793 -3.896 5.845
Zn 5.845 7.793 -3.896
Zn 5.845 0.000 3.896
Zn 3.896 5.845 0.000
Zn 7.793 3.896 1.948
Zn -3.896 3.896 3.896
Zn 0.000 7.793 0.000
Zn 0.000 0.000 7.793
Zn 3.896 3.896 3.896
Zn 0.000 3.896 5.845
Zn 3.896 1.948 7.793
Zn 1.948 7.793 3.896
Zn 1.948 0.000 11.689
Zn 0.000 11.689 1.948
Zn -3.896 5.845 7.793
Ga 2.294 -0.330 1.096
Ga 9.395 4.992 -4.227
Ga 7.462 -1.096 2.294
Ga 12.020 -1.603 2.800
Ga 10.087 0.330 1.096
Ga 9.395 -2.800 4.227
Ga 1.096 2.294 -0.330
Ga 10.593 3.566 -1.603
Ga 4.992 4.227 -1.603
Ga 6.697 2.294 0.330
Ga -0.330 1.096 2.294
Ga 4.227 -1.603 4.992
Ga 7.462 6.697 -2.294
Ga 4.227 1.603 2.800
Ga 6.697 -2.294 7.462
Ga 4.992 -4.227 9.395
Ga 2.800 4.227 1.603
Ga 8.889 5.499 0.330
Ga 2.294 7.462 -1.096
Ga 9.395 2.800 3.566
Ga 4.227 9.395 -2.800
Ga 7.462 1.096 5.499
Ga 1.603 2.800 4.227
Ga 2.294 0.330 6.697
Ga 5.499 7.462 1.096
Ga 6.190 4.992 3.566
Ga 0.330 6.697 2.294
Ga 3.566 -1.603 10.593
Ga -1.603 4.992 4.227
Ga 5.499 0.330 8.889
Ga -1.096 2.294 7.462
Ga 4.992 3.566 6.190
Ga 2.800 12.020 -1.603
Ga 1.096 10.087 0.330
Ga 3.566 6.190 4.992
Ga 0.330 1.096 10.087
Ga 3.566 9.395 2.800
Ga 8.123 6.697 5.499
Ga 1.096 5.499 7.462
Ga 2.800 3.566 9.395
Ga -2.800 4.227 9.395
Ga 6.697 5.499 8.123
Ga -1.603 10.593 3.566
Ga -2.294 7.462 6.697
Ga -4.227 9.395 4.992
Ga 0.330 8.889 5.499
Ga -1.603 2.800 12.020
Ga 5.499 8.123 6.697
Sn 3.896 1.948 0.000
Sn 7.793 3.896 -1.948
Sn 1.948 0.000 3.896
Sn 9.741 0.000 3.896
Sn 0.000 3.896 1.948
Sn 3.896 -1.948 7.793
Sn 3.896 9.741 0.000
Sn 7.793 3.896 5.845
Sn -1.948 7.793 3.896
Sn 5.845 7.793 3.896
Sn 0.000 3.896 9.741
Sn 3.896 5.845 7.793
```


Record 8
# Zn6Ga8Sn

An optimized crystal structure of Zn6Ga8Sn (PBE, Alexandria).

Properties
Calculated total energy in eV/cell: -35.09
SG: No. 148
Energy of formation from the pure elements in eV per atom: 0.05

Structure (extended XYZ):
```
15
Lattice="4.127 2.383 4.716 -4.127 2.383 4.716 0.000 -4.766 4.716" Properties=species:S:1:pos:R:3 pbc="T T T"
Zn -3.319 -0.980 7.594
Zn -0.811 -3.365 6.554
Zn -2.509 2.385 6.554
Zn 2.509 -2.385 7.593
Zn 0.811 3.365 7.594
Zn 3.319 0.980 6.554
Ga -2.594 0.047 5.236
Ga 0.000 0.000 4.054
Ga -1.338 -2.223 8.911
Ga 1.256 -2.270 5.236
Ga -1.256 2.270 8.911
Ga 1.338 2.223 5.236
Ga 0.000 0.000 10.093
Ga 2.594 -0.047 8.911
Sn 0.000 0.000 7.074
```


Record 9
# ZnGa3Sn

An optimized crystal structure of ZnGa3Sn (PBE, Alexandria).

Properties
Calculated total energy in eV/cell: -28.26
SG: No. 11
E above lowest polymorph in meV/atom: 4
Energy of formation from the pure elements in eV per atom: 0.05

Structure (extended XYZ):
```
10
Lattice="6.540 0.000 0.000 0.000 5.048 0.000 -2.373 0.000 6.204" Properties=species:S:1:pos:R:3 pbc="T T T"
Zn 0.000 0.000 0.000
Zn 0.000 2.524 0.000
Ga 0.679 1.262 2.514
Ga 0.075 1.262 5.899
Ga 1.692 3.786 1.707
Ga 2.475 1.262 4.497
Ga 4.092 3.786 0.305
Ga 3.488 3.786 3.690
Sn -0.174 3.786 4.156
Sn 4.341 1.262 2.048
```


Record 10
# ZnGa3Sn

An optimized crystal structure of ZnGa3Sn (PBE, Alexandria).

Properties
Calculated total energy in eV/cell: -12.96
SG: No. 221
E above lowest polymorph in meV/atom: 237
Energy of formation from the pure elements in eV per atom: 0.28

Structure (extended XYZ):
```
5
Lattice="4.891 0.000 0.000 0.000 4.891 0.000 0.000 0.000 4.891" Properties=species:S:1:pos:R:3 pbc="T T T"
Zn 0.000 0.000 0.000
Ga 0.000 0.000 2.445
Ga 0.000 2.445 0.000
Ga 2.445 0.000 0.000
Sn 2.445 2.445 2.445
```


Record 11
# ZnGa3Sn

An optimized crystal structure of ZnGa3Sn (PBE, Alexandria).

Properties
Calculated total energy in eV/cell: -56.59
SG: No. 15
E above lowest polymorph in meV/atom: 0
Energy of formation from the pure elements in eV per atom: 0.04

Structure (extended XYZ):
```
20
Lattice="6.500 -5.450 0.000 6.500 5.450 0.000 -3.186 0.000 5.673" Properties=species:S:1:pos:R:3 pbc="T T T"
Zn 2.750 3.842 4.308
Zn 5.471 3.842 4.202
Zn 4.343 -3.842 1.471
Zn 7.064 -3.842 1.365
Ga 3.025 2.679 1.931
Ga 4.903 1.643 0.264
Ga 1.116 0.057 3.668
Ga 2.708 -0.057 0.831
Ga 8.383 2.679 0.905
Ga 6.504 1.643 2.573
Ga 3.310 -1.643 3.100
Ga 1.432 -2.679 4.768
Ga 7.106 0.057 4.841
Ga 8.699 -0.057 2.005
Ga 4.911 -1.643 5.409
Ga 6.790 -2.679 3.742
Sn 5.704 4.451 1.418
Sn 4.111 1.091 4.255
Sn 5.704 -1.091 1.418
Sn 4.111 -4.451 4.255
```


Record 12
# Zn12Ga16Sn

An optimized crystal structure of Zn12Ga16Sn (PBE, Alexandria).

Properties
Calculated total energy in eV/cell: -66.21
SG: No. 8
Energy of formation from the pure elements in eV per atom: 0.05

Structure (extended XYZ):
```
29
Lattice="6.400 -6.055 0.000 6.400 6.055 0.000 -5.377 0.000 6.829" Properties=species:S:1:pos:R:3 pbc="T T T"
Zn 0.000 0.000 0.000
Zn 3.584 4.681 2.804
Zn -0.412 0.000 2.851
Zn 4.834 1.280 2.010
Zn 2.260 2.209 6.770
Zn 7.409 2.106 2.687
Zn 4.834 -1.280 2.010
Zn 4.913 1.273 6.377
Zn 2.260 -2.209 6.770
Zn 3.584 -4.681 2.804
Zn 4.913 -1.273 6.377
Zn 7.409 -2.106 2.687
Ga -1.841 2.194 6.718
Ga 2.216 4.291 5.127
Ga 1.844 1.440 1.847
Ga -1.895 0.000 5.094
Ga 0.813 1.848 4.537
Ga 5.613 3.732 1.255
Ga 1.844 -1.440 1.847
Ga 4.938 2.809 4.156
Ga 0.440 0.000 6.658
Ga -1.841 -2.194 6.718
Ga 0.813 -1.848 4.537
Ga 8.424 0.000 1.148
Ga 6.476 0.000 4.216
Ga 5.613 -3.732 1.255
Ga 2.216 -4.291 5.127
Ga 4.938 -2.809 4.156
Sn 3.210 0.000 4.207
```


Record 13
# Zr2ZnGaSn

An optimized crystal structure of Zr2ZnGaSn (PBE, Alexandria).

Properties
Calculated total energy in eV/cell: -24.25
SG: No. 123
Energy of formation from the pure elements in eV per atom: 0.23

Structure (extended XYZ):
```
5
Lattice="5.080 0.000 0.000 0.000 5.080 0.000 0.000 0.000 4.426" Properties=species:S:1:pos:R:3 pbc="T T T"
Zr 0.000 2.540 0.000
Zr 2.540 0.000 0.000
Zn 0.000 0.000 0.000
Ga 0.000 0.000 2.213
Sn 2.540 2.540 2.213
```


Record 14
# ZrGaSn

An optimized crystal structure of ZrGaSn (PBE, Alexandria).

Properties
Calculated total energy in eV/cell: -64.76
SG: No. 71
E above lowest polymorph in meV/atom: 242
Energy of formation from the pure elements in eV per atom: -0.20

Structure (extended XYZ):
```
12
Lattice="3.232 0.000 0.000 0.000 6.192 0.000 0.000 0.000 12.987" Properties=species:S:1:pos:R:3 pbc="T T T"
Zr 0.000 0.000 1.688
Zr 0.000 0.000 11.299
Zr 1.616 3.096 4.805
Zr 1.616 3.096 8.181
Ga 0.000 1.304 6.493
Ga 0.000 4.888 6.493
Ga 1.616 1.792 0.000
Ga 1.616 4.400 0.000
Sn 0.000 3.096 2.202
Sn 0.000 3.096 10.785
Sn 1.616 0.000 4.291
Sn 1.616 0.000 8.695
```


Record 15
# ZrGa2Sn

An optimized crystal structure of ZrGa2Sn (PBE, Alexandria).

Properties
Calculated total energy in eV/cell: -74.97
SG: No. 122
Energy of formation from the pure elements in eV per atom: -0.03

Structure (extended XYZ):
```
16
Lattice="7.728 0.000 0.000 0.000 7.728 0.000 0.000 0.000 5.834" Properties=species:S:1:pos:R:3 pbc="T T T"
Zr 0.000 0.000 0.000
Zr 0.000 3.864 1.459
Zr 3.864 0.000 4.376
Zr 3.864 3.864 2.917
Ga 1.897 1.932 3.646
Ga 1.932 5.761 5.105
Ga 1.932 5.831 2.188
Ga 1.967 1.932 0.729
Ga 5.761 5.796 0.729
Ga 5.796 1.897 2.188
Ga 5.796 1.967 5.105
Ga 5.831 5.796 3.646
Sn 0.000 0.000 2.917
Sn 0.000 3.864 4.376
Sn 3.864 0.000 1.459
Sn 3.864 3.864 0.000
```


Record 16
# ZrGaSn2

An optimized crystal structure of ZrGaSn2 (PBE, Alexandria).

Properties
Calculated total energy in eV/cell: -78.24
SG: No. 122
Energy of formation from the pure elements in eV per atom: 0.00

Structure (extended XYZ):
```
16
Lattice="7.982 0.000 0.000 0.000 7.982 0.000 0.000 0.000 5.943" Properties=species:S:1:pos:R:3 pbc="T T T"
Zr 0.000 0.000 0.000
Zr 0.000 3.991 1.486
Zr 3.991 0.000 4.458
Zr 3.991 3.991 2.972
Ga 0.000 0.000 2.972
Ga 0.000 3.991 4.458
Ga 3.991 0.000 1.486
Ga 3.991 3.991 0.000
Sn 1.829 5.986 3.715
Sn 1.995 1.829 2.229
Sn 1.995 2.162 5.201
Sn 2.162 5.986 0.743
Sn 5.819 1.995 0.743
Sn 5.986 5.819 5.201
Sn 5.986 6.153 2.229
Sn 6.153 1.995 3.715
```


Record 17
# ZrGaSn2

An optimized crystal structure of ZrGaSn2 (PBE, Alexandria).

Properties
Calculated total energy in eV/cell: -55.81
SG: No. 166
Energy of formation from the pure elements in eV per atom: 0.24

Structure (extended XYZ):
```
12
Lattice="3.339 0.000 0.000 -1.669 2.891 0.000 0.000 0.000 31.072" Properties=species:S:1:pos:R:3 pbc="T T T"
Zr 0.000 0.000 0.000
Zr 0.000 1.927 20.715
Zr 1.669 0.964 10.357
Ga 0.000 0.000 15.536
Ga 0.000 1.927 5.179
Ga 1.669 0.964 25.894
Sn 0.000 0.000 2.931
Sn 0.000 0.000 28.141
Sn 0.000 1.927 17.784
Sn 0.000 1.927 23.646
Sn 1.669 0.964 7.426
Sn 1.669 0.964 13.289
```


Record 18
# Zr6GaSn3

An optimized crystal structure of Zr6GaSn3 (PBE, Alexandria).

Properties
Calculated total energy in eV/cell: -138.08
SG: No. 14
Energy of formation from the pure elements in eV per atom: -0.27

Structure (extended XYZ):
```
20
Lattice="7.078 0.000 0.000 0.000 7.523 0.000 -7.022 0.000 8.937" Properties=species:S:1:pos:R:3 pbc="T T T"
Zr -1.799 0.550 2.304
Zr -5.310 3.211 6.773
Zr 0.967 1.272 0.472
Zr -2.544 2.489 4.940
Zr 2.477 4.917 0.456
Zr -1.034 6.366 4.925
Zr 1.090 1.156 4.012
Zr -2.420 2.605 8.480
Zr 2.600 5.034 3.996
Zr -0.910 6.250 8.465
Zr 5.366 4.311 2.164
Zr 1.855 6.973 6.632
Ga -3.511 0.000 4.468
Ga 0.000 3.761 0.000
Sn -2.971 4.927 6.686
Sn 0.540 6.357 2.218
Sn 3.539 0.000 0.000
Sn 0.028 3.761 4.468
Sn -0.484 1.166 6.718
Sn 3.027 2.596 2.250
```


Record 19
# Zr8GaSn2

An optimized crystal structure of Zr8GaSn2 (PBE, Alexandria).

Properties
Calculated total energy in eV/cell: -82.07
SG: No. 12
Energy of formation from the pure elements in eV per atom: -0.24

Structure (extended XYZ):
```
11
Lattice="9.095 -2.452 0.000 9.095 2.452 0.000 -1.630 0.000 5.647" Properties=species:S:1:pos:R:3 pbc="T T T"
Zr -0.157 0.000 1.480
Zr 2.831 0.000 4.704
Zr 5.574 0.000 2.611
Zr 7.481 0.000 0.021
Zr 9.079 0.000 5.626
Zr 10.986 0.000 3.036
Zr 13.730 0.000 0.943
Zr 16.718 0.000 4.168
Ga 8.280 0.000 2.824
Sn 2.766 0.000 1.492
Sn 13.795 0.000 4.155
```


Let's list spin magnetization in order: 0.0, 0.0, 0.0, 0.0, 0.0, 0.0, 0.0, 0.0, 0.0, 0.0, 0.0, 0.0, 0.0, 0.0, 0.0, 0.0, 0.0, 0.0, 0.0 μB per cell.